VASP calculation (PBE) on an optimized crystal structure of Tl2In4SnPb.

Values from the calculation:
symmetry	P2/m (10)
ΔE_f	0.165	eV/f.u.
density	8.6	g/cm³
DFT total energy	-2.904	eV/atom

a = 5.3927 Å, b = 5.3803 Å, c = 9.5669 Å
α = 56.31°, β = 90.00°, γ = 90.00°
Atoms (fractional coordinates):
Sn 0.0000 0.5000 0.5000
In 0.5000 0.2569 0.7441
In 0.0000 0.7583 0.7411
In 0.5000 0.7431 0.2559
In 0.0000 0.2417 0.2589
Tl 0.0000 0.0000 0.0000
Tl 0.5000 0.0000 0.5000
Pb 0.5000 0.5000 0.0000